No. 1
Material: Rb3AcPu2Se6
Method: DFT, PBE-GGA
State: relaxed

Results
The space-group type is C2/m. For the total magnetic moment, the calculation gives 10.00 μB per formula unit. The total DFT energy (no corrections) is -6.2618 eV/atom. The calculation puts the density of states at the Fermi level at 1.973 states/eV per atom. The formation energy without anion corrections comes out at -149 kJ/mol of atoms.

Cell lengths 7.658, 7.658, 8.394 Å; angles 98.77, 98.77, 120.00 degrees
Fractional positions:
Rb  0.000  0.000  0.000
Rb  0.335  0.665  0.000
Rb  0.665  0.335  0.000
Ac  0.500  0.500  0.500
Pu  0.167  0.833  0.500
Pu  0.833  0.167  0.500
Se  0.084  0.433  0.301
Se  0.217  0.217  0.699
Se  0.433  0.084  0.301
Se  0.567  0.916  0.699
Se  0.783  0.783  0.301
Se  0.916  0.567  0.699

No. 2
Material: Rb4Ac3PuSe8
Method: DFT, PBE-GGA
State: relaxed

Results
The space-group type is R-3m. For the total magnetic moment, the calculation gives 5.00 μB per formula unit. The total DFT energy (no corrections) is -5.3457 eV/atom. The calculation puts the density of states at the Fermi level at 0.842 states/eV per atom. The formation energy without anion corrections comes out at -164 kJ/mol of atoms.

Cell lengths 9.589, 9.589, 9.589 Å; angles 56.72, 56.72, 56.72 degrees
Fractional positions:
Rb  0.000  0.000  0.000
Rb  0.000  0.500  0.500
Rb  0.500  0.000  0.500
Rb  0.500  0.500  0.000
Ac  0.000  0.000  0.500
Ac  0.000  0.500  0.000
Ac  0.500  0.000  0.000
Pu  0.500  0.500  0.500
Se  0.237  0.237  0.237
Se  0.247  0.728  0.728
Se  0.272  0.272  0.753
Se  0.272  0.753  0.272
Se  0.728  0.247  0.728
Se  0.728  0.728  0.247
Se  0.753  0.272  0.272
Se  0.763  0.763  0.763

No. 3
Material: Rb3Ac3PuTe8
Method: DFT, PBE-GGA
State: relaxed

Results
The space-group type is R-3m. For the total magnetic moment, the calculation gives 4.00 μB per formula unit. The total DFT energy (no corrections) is -4.9709 eV/atom. The calculation puts the density of states at the Fermi level at 0.875 states/eV per atom. The formation energy without anion corrections comes out at -128 kJ/mol of atoms.

Cell lengths 10.318, 10.318, 10.318 Å; angles 55.38, 55.38, 55.38 degrees
Fractional positions:
Rb  0.000  0.500  0.500
Rb  0.500  0.000  0.500
Rb  0.500  0.500  0.000
Ac  0.000  0.000  0.500
Ac  0.000  0.500  0.000
Ac  0.500  0.000  0.000
Pu  0.500  0.500  0.500
Te  0.238  0.238  0.238
Te  0.254  0.722  0.722
Te  0.278  0.278  0.746
Te  0.278  0.746  0.278
Te  0.722  0.254  0.722
Te  0.722  0.722  0.254
Te  0.746  0.278  0.278
Te  0.762  0.762  0.762

No. 4
Material: Rb4Ac3PuTe8
Method: DFT, PBE-GGA
State: relaxed

Results
The space-group type is R-3m. For the total magnetic moment, the calculation gives 5.00 μB per formula unit. The total DFT energy (no corrections) is -4.8588 eV/atom. The calculation puts the density of states at the Fermi level at 0.914 states/eV per atom. The formation energy without anion corrections comes out at -133 kJ/mol of atoms.

Cell lengths 10.216, 10.216, 10.216 Å; angles 56.43, 56.43, 56.43 degrees
Fractional positions:
Rb  0.000  0.000  0.000
Rb  0.000  0.500  0.500
Rb  0.500  0.000  0.500
Rb  0.500  0.500  0.000
Ac  0.000  0.000  0.500
Ac  0.000  0.500  0.000
Ac  0.500  0.000  0.000
Pu  0.500  0.500  0.500
Te  0.238  0.238  0.238
Te  0.248  0.730  0.730
Te  0.270  0.270  0.752
Te  0.270  0.752  0.270
Te  0.730  0.248  0.730
Te  0.730  0.730  0.248
Te  0.752  0.270  0.270
Te  0.762  0.762  0.762